1.
PBE Nb2AgPS10, optimized geometry; space group = C2/c
1.0
0.000 -8.002 0.000
12.313 4.001 0.061
-0.973 0.000 13.014
S Ag Nb P
40 4 8 4
direct
0.302 0.313 0.857
0.155 0.417 0.868
0.931 0.583 0.406
0.262 0.417 0.368
0.925 0.130 0.852
0.652 0.583 0.906
0.313 0.424 0.642
0.010 0.313 0.357
0.469 0.083 0.880
0.464 0.728 0.769
0.110 0.424 0.142
0.795 0.870 0.648
0.181 0.130 0.629
0.536 0.272 0.231
0.069 0.417 0.594
0.477 0.705 0.506
0.614 0.083 0.380
0.738 0.583 0.632
0.386 0.917 0.620
0.990 0.687 0.643
0.185 0.127 0.068
0.698 0.687 0.143
0.051 0.870 0.871
0.949 0.130 0.129
0.687 0.576 0.358
0.348 0.417 0.094
0.942 0.127 0.568
0.075 0.870 0.148
0.845 0.583 0.132
0.772 0.295 0.994
0.736 0.272 0.731
0.815 0.873 0.932
0.531 0.917 0.120
0.264 0.728 0.269
0.819 0.870 0.371
0.523 0.295 0.494
0.890 0.576 0.858
0.205 0.130 0.352
0.058 0.873 0.432
0.228 0.705 0.006
0.460 0.885 0.904
0.540 0.115 0.096
0.425 0.885 0.404
0.575 0.115 0.596
0.809 0.724 0.495
0.085 0.276 0.005
0.915 0.724 0.995
0.205 0.273 0.214
0.932 0.727 0.286
0.068 0.273 0.714
0.191 0.276 0.505
0.795 0.727 0.786
0.478 0.190 0.365
0.288 0.810 0.135
0.522 0.810 0.635
0.712 0.190 0.865

=====

2.
PBE NbAgPb, optimized geometry; space group = F-43m
1.0
-3.451 2.132 2.350
0.363 4.546 1.084
-2.713 3.150 -2.166
Pb Nb Ag
1 1 1
direct
0.750 0.750 0.750
0.000 0.000 0.000
0.250 0.250 0.250

=====

The records above yield DFT total energy values of -77.2 -14.4 eV per formula unit, respectively.